Entry 1:
This record from the Alexandria database describes a geometry-optimized Ga2GePt2 structure. The functional is PBE.

Unit cell a=7.652 b=7.652 c=2.822 alpha=90.00 beta=90.00 gamma=90.00
Fractional positions:
Ge 0.000 0.000 0.000
Ge 0.500 0.500 0.000
Ga 0.149 0.649 0.500
Ga 0.649 0.851 0.500
Ga 0.851 0.351 0.500
Ga 0.351 0.149 0.500
Pt 0.352 0.852 0.000
Pt 0.852 0.648 0.000
Pt 0.648 0.148 0.000
Pt 0.148 0.352 0.000

## Properties
**Symmetry**: P4/mbm (127)
**Calculated formation energy**: -202 kJ/mol of formula units
**Offset from the most stable computed form**: 0 meV per atom

=====

Entry 2:
This record from the Alexandria database describes a geometry-optimized Ga2GePt3 structure. The functional is PBE.

Unit cell a=3.950 b=6.898 c=7.843 alpha=106.21 beta=90.00 gamma=90.00
Fractional positions:
Ga 0.250 0.776 0.537
Ga 0.750 0.224 0.463
Ga 0.750 0.028 0.828
Ga 0.250 0.972 0.172
Ge 0.250 0.529 0.835
Ge 0.750 0.471 0.165
Pt 0.750 0.602 0.635
Pt 0.250 0.398 0.365
Pt 0.750 0.846 0.357
Pt 0.250 0.154 0.643
Pt 0.250 0.248 0.004
Pt 0.750 0.752 0.996

## Properties
**Symmetry**: P2_1/m (11)
**Calculated formation energy**: -303 kJ/mol of formula units
**Offset from the most stable computed form**: 0 meV per atom

=====

Entry 3:
This record from the Alexandria database describes a geometry-optimized Ga5GePt3 structure. The functional is PBE.

Unit cell a=6.017 b=7.332 c=8.609 alpha=107.02 beta=90.00 gamma=114.23
Fractional positions:
Ga 0.247 0.000 0.750
Ga 0.580 0.663 0.918
Ga 0.913 0.335 0.086
Ga 0.420 0.337 0.082
Ga 0.578 0.665 0.414
Ga 0.753 0.000 0.250
Ga 0.083 0.663 0.418
Ga 0.917 0.337 0.582
Ga 0.422 0.335 0.586
Ga 0.087 0.665 0.914
Ge 0.758 0.000 0.750
Ge 0.242 0.000 0.250
Pt 0.000 0.000 0.000
Pt 0.662 0.330 0.333
Pt 0.000 0.000 0.500
Pt 0.338 0.670 0.667
Pt 0.668 0.330 0.833
Pt 0.332 0.670 0.167

## Properties
**Symmetry**: C2/c (15)
**Calculated formation energy**: -487 kJ/mol of formula units
**Offset from the most stable computed form**: 0 meV per atom

=====

Entry 4:
This record from the Alexandria database describes a geometry-optimized Ga2Ge2Pt5 structure. The functional is PBE.

Unit cell a=4.565 b=6.517 c=6.903 alpha=117.01 beta=90.00 gamma=110.50
Fractional positions:
Ga 0.162 0.324 0.854
Ga 0.838 0.676 0.146
Ge 0.343 0.686 0.643
Ge 0.657 0.314 0.357
Pt 0.397 0.793 0.047
Pt 0.603 0.207 0.953
Pt 0.105 0.211 0.454
Pt 0.895 0.789 0.546
Pt 0.000 0.000 0.000

## Properties
**Symmetry**: C2/m (12)
**Calculated formation energy**: -311 kJ/mol of formula units

=====

Entry 5:
This record from the Alexandria database describes a geometry-optimized Ga3GePt8 structure. The functional is PBE.

Unit cell a=4.114 b=5.621 c=7.994 alpha=89.57 beta=90.00 gamma=90.00
Fractional positions:
Ga 0.000 0.702 0.397
Ga 0.500 0.792 0.888
Ga 0.500 0.302 0.608
Ge 0.000 0.199 0.106
Pt 0.000 0.646 0.073
Pt 0.000 0.157 0.427
Pt 0.500 0.341 0.932
Pt 0.500 0.849 0.568
Pt 0.000 0.550 0.706
Pt 0.000 0.049 0.798
Pt 0.500 0.460 0.302
Pt 0.500 0.954 0.194

## Properties
**Symmetry**: Pm (6)
**Calculated formation energy**: -587 kJ/mol of formula units

=====

Entry 6:
This record from the Alexandria database describes a geometry-optimized Ga2GePt3 structure. The functional is PBE.

Unit cell a=5.206 b=7.408 c=6.115 alpha=108.31 beta=115.19 gamma=90.00
Fractional positions:
Ga 0.679 0.583 0.344
Ga 0.665 0.083 0.344
Ga 0.335 0.917 0.656
Ga 0.321 0.417 0.656
Ge 0.825 0.750 0.000
Ge 0.175 0.250 0.000
Pt 0.652 0.250 0.000
Pt 0.348 0.750 0.000
Pt 0.144 0.077 0.300
Pt 0.844 0.423 0.700
Pt 0.156 0.577 0.300
Pt 0.856 0.923 0.700

## Properties
**Symmetry**: C2/c (15)
**Calculated formation energy**: -236 kJ/mol of formula units
**Offset from the most stable computed form**: 115 meV per atom

=====

Summary of volume in Å³ per atom
16.53; 17.10; 18.23; 18.69; 15.41; 16.68
(order as listed above)